[1]
A plane-wave DFT calculation with PBE was carried out for an optimized crystal structure of SrSiPt2.

a b c (Å): 6.7769 6.7769 6.7769
angles (deg): 90.00 90.00 90.00
Closest atoms and distances in Å follow each position.
Space group F-43m (No. 216)
Unique sites:
Sr (0.0000, 0.0000, 0.0000)  4 Pt 2.93, 4 Si 2.93
Si (0.2500, 0.2500, 0.2500)  4 Sr 2.93, 4 Pt 2.93
Pt (0.0000, 0.0000, 0.5000)  4 Pt 2.93, 4 Si 2.93
Pt (0.2500, 0.2500, 0.7500)  4 Sr 2.93, 4 Pt 2.93

**Formation energy from raw total energies**: -1.57 kcal/mol of atoms
**Crystal system**: cubic
**Mass density**: 10.80 g/cm3

***

[2]
A plane-wave DFT calculation with PBE was carried out for an optimized crystal structure of Cs2KBaPt.

a b c (Å): 7.1225 7.1225 6.1786
angles (deg): 90.00 90.00 90.00
Closest atoms and distances in Å follow each position.
Space group P4/mmm (No. 123)
Unique sites:
Cs (0.0000, 0.5000, 0.0000)  2 Pt 3.56
K (0.0000, 0.0000, 0.5000)  8 Cs 4.71, 4 Ba 5.04
Ba (0.5000, 0.5000, 0.5000)  2 Pt 3.09
Pt (0.5000, 0.5000, 0.0000)  2 Ba 3.09

**ΔE_f**: -0.07 eV per atom
**Crystal system**: tetragonal
**Mass density**: 3.38 g/cm3

***

[3]
A plane-wave DFT calculation with PBE was carried out for an optimized crystal structure of Th2MnRh.

a b c (Å): 3.7953 3.7953 25.7874
angles (deg): 90.00 90.00 120.00
Closest atoms and distances in Å follow each position.
Space group R-3m (No. 166, hexagonal axes)
Unique sites:
Th (0.0000, 0.0000, 0.0959)  1 Mn 2.47
Mn (0.0000, 0.0000, 0.0000)  2 Th 2.47
Rh (0.0000, 0.0000, 0.5000)  6 Th 2.85

**ΔE_f**: 0.30 eV per atom
**Crystal system**: trigonal
**Mass density**: 9.63 g/cm3